## AgSn3Br7 (PBE-GGA)

Data for a relaxed AgSn3Br7 crystal.

Cell lengths 7.8792, 7.8792, 7.8792 Å; angles 91.10, 91.10, 91.10 degrees
Last column: nearest neighbours and their distance in Å.
Fractional positions:
Sn (0.4282, 0.0283, 0.4282)  4 Br 2.79-3.08
Br (0.0879, 0.6840, 0.6840)  1 Ag 2.63, 1 Sn 2.85
Br (0.6840, 0.0879, 0.6840)  1 Ag 2.63, 1 Sn 2.85
Br (0.2558, 0.6357, 0.2558)  2 Sn 2.79
Sn (0.4282, 0.4282, 0.0283)  4 Br 2.79-3.08
Br (0.1712, 0.1712, 0.1712)  3 Sn 3.08
Br (0.2558, 0.2558, 0.6357)  2 Sn 2.79
Br (0.6357, 0.2558, 0.2558)  2 Sn 2.79
Br (0.6840, 0.6840, 0.0879)  1 Ag 2.63, 1 Sn 2.85
Sn (0.0283, 0.4282, 0.4282)  4 Br 2.79-3.08
Ag (0.8094, 0.8094, 0.8094)  3 Br 2.63

E_form (uncorrected): -0.63 eV per atom
ρ: 3.48 Mg/m³
raw total energy: -3.042 eV/atom
density of states at the Fermi level: 0.00 states/eV per cell